# 1
A relaxed structure of Ni3H2, computed with PBE-GGA.

electronic total energy = -4.719 eV/atom
space group = R-3c

Cell: 4.9527 4.9527 4.9527 Å, 53.24 53.24 53.24°
With the nearest neighbours (Å) after each atom.
Element x y z (fractional)
Ni 0.0830 0.4170 0.7500  4 H 1.78-1.86
Ni 0.2500 0.9170 0.5830  4 H 1.78-1.86
Ni 0.4170 0.7500 0.0830  4 H 1.78-1.86
Ni 0.5830 0.2500 0.9170  4 H 1.78-1.86
Ni 0.7500 0.0830 0.4170  4 H 1.78-1.86
Ni 0.9170 0.5830 0.2500  4 H 1.78-1.86
H 0.1606 0.1606 0.1606  6 Ni 1.78-1.86
H 0.3394 0.3394 0.3394  6 Ni 1.78-1.86
H 0.6606 0.6606 0.6606  6 Ni 1.78-1.86
H 0.8394 0.8394 0.8394  6 Ni 1.78-1.86

=====

# 2
A relaxed structure of PaNiH4, computed with PBE-GGA.

electronic total energy = -5.041 eV/atom
space group = Cmcm

Cell: 6.0226 6.0226 4.4818 Å, 90.00 90.00 142.21°
With the nearest neighbours (Å) after each atom.
Element x y z (fractional)
Pa 0.1296 0.8704 0.7500  9 H 2.31-2.34
Pa 0.8704 0.1296 0.2500  9 H 2.31-2.34
Ni 0.3990 0.6010 0.7500  4 H 1.61-1.65
Ni 0.6010 0.3990 0.2500  4 H 1.61-1.65
H 0.0747 0.9253 0.2500  2 Ni 1.97
H 0.3019 0.6981 0.0222  1 Ni 1.65
H 0.3019 0.6981 0.4778  1 Ni 1.65
H 0.5000 0.5000 0.0000  2 Ni 1.61
H 0.5000 0.5000 0.5000  2 Ni 1.61
H 0.6981 0.3019 0.5222  1 Ni 1.65
H 0.6981 0.3019 0.9778  1 Ni 1.65
H 0.9253 0.0747 0.7500  2 Ni 1.97

=====

# 3
A relaxed structure of PrNiH2Pb, computed with PBE-GGA.

electronic total energy = -4.566 eV/atom
space group = Pnma

Cell: 8.5592 4.4801 7.7449 Å, 90.00 90.00 90.00°
With the nearest neighbours (Å) after each atom.
Element x y z (fractional)
Pr 0.0000 0.2500 0.2499  6 H 2.64
Pr 0.0000 0.7500 0.7501  6 H 2.64
Pr 0.5000 0.2500 0.2501  6 H 2.64
Pr 0.5000 0.7500 0.7499  6 H 2.64
Ni 0.2493 0.2500 0.5830  2 H 1.60
Ni 0.2507 0.7500 0.0830  2 H 1.60
Ni 0.7493 0.2500 0.9170  2 H 1.60
Ni 0.7507 0.7500 0.4170  2 H 1.60
H 0.0618 0.2500 0.5835  1 Ni 1.60
H 0.0633 0.7500 0.0835  1 Ni 1.60
H 0.4367 0.2500 0.5835  1 Ni 1.60
H 0.4382 0.7500 0.0835  1 Ni 1.60
H 0.5618 0.2500 0.9165  1 Ni 1.60
H 0.5633 0.7500 0.4165  1 Ni 1.60
H 0.9367 0.2500 0.9165  1 Ni 1.60
H 0.9382 0.7500 0.4165  1 Ni 1.60
Pb 0.2500 0.2500 0.9166  3 Ni 2.58, 2 H 2.67-2.68
Pb 0.2500 0.7500 0.4166  3 Ni 2.58, 2 H 2.67-2.68
Pb 0.7500 0.2500 0.5834  3 Ni 2.58, 2 H 2.67-2.68
Pb 0.7500 0.7500 0.0834  3 Ni 2.58, 2 H 2.67-2.68

=====

# 4
A relaxed structure of Ni2H4Pd, computed with PBE-GGA.

electronic total energy = -4.306 eV/atom
space group = C2/c

Cell: 5.1790 5.1790 5.1767 Å, 119.49 119.49 90.62°
With the nearest neighbours (Å) after each atom.
Element x y z (fractional)
Ni 0.0000 0.0000 0.0000  6 H 1.71-1.72
Ni 0.0000 0.0000 0.5000  6 H 1.71-1.72
Ni 0.0000 0.5000 0.0000  6 H 1.72
Ni 0.5000 0.0000 0.5000  6 H 1.72
H 0.1975 0.2329 0.9614  3 Ni 1.71-1.72, 1 Pd 1.81
H 0.2289 0.7649 0.4631  3 Ni 1.72, 1 Pd 1.81
H 0.2329 0.1975 0.4614  3 Ni 1.71-1.72, 1 Pd 1.81
H 0.2351 0.7711 0.0369  3 Ni 1.72, 1 Pd 1.81
H 0.7649 0.2289 0.9631  3 Ni 1.72, 1 Pd 1.81
H 0.7671 0.8025 0.5386  3 Ni 1.71-1.72, 1 Pd 1.81
H 0.7711 0.2351 0.5369  3 Ni 1.72, 1 Pd 1.81
H 0.8025 0.7671 0.0386  3 Ni 1.71-1.72, 1 Pd 1.81
Pd 0.3757 0.6243 0.7500  4 H 1.81
Pd 0.6243 0.3757 0.2500  4 H 1.81

=====

# 5
A relaxed structure of Sr2NiH6Pd, computed with PBE-GGA.

electronic total energy = -3.909 eV/atom
space group = Fm-3m

Cell: 5.2825 5.2825 5.2825 Å, 60.00 60.00 60.00°
With the nearest neighbours (Å) after each atom.
Element x y z (fractional)
Sr 0.2500 0.2500 0.2500  12 H 2.64
Sr 0.7500 0.7500 0.7500  12 H 2.64
Ni 0.0000 0.0000 0.0000  6 H 1.73
H 0.2322 0.2322 0.7678  1 Ni 1.73
H 0.2322 0.7678 0.2322  1 Ni 1.73
H 0.2322 0.7678 0.7678  1 Ni 1.73
H 0.7678 0.2322 0.2322  1 Ni 1.73
H 0.7678 0.2322 0.7678  1 Ni 1.73
H 0.7678 0.7678 0.2322  1 Ni 1.73
Pd 0.5000 0.5000 0.5000  6 H 2.00

=====

# 6
A relaxed structure of Y2NiH6Pd, computed with PBE-GGA.

electronic total energy = -4.864 eV/atom
space group = Fm-3m

Cell: 5.0986 5.0986 5.0986 Å, 60.00 60.00 60.00°
With the nearest neighbours (Å) after each atom.
Element x y z (fractional)
Y 0.2500 0.2500 0.2500  12 H 2.55
Y 0.7500 0.7500 0.7500  12 H 2.55
Ni 0.0000 0.0000 0.0000  6 H 1.70
H 0.2358 0.2358 0.7642  1 Ni 1.70
H 0.2358 0.7642 0.2358  1 Ni 1.70
H 0.2358 0.7642 0.7642  1 Ni 1.70
H 0.7642 0.2358 0.2358  1 Ni 1.70
H 0.7642 0.2358 0.7642  1 Ni 1.70
H 0.7642 0.7642 0.2358  1 Ni 1.70
Pd 0.5000 0.5000 0.5000  6 H 1.90

=====

# 7
A relaxed structure of PmNi2H6, computed with PBE-GGA.

electronic total energy = -4.398 eV/atom
space group = P6/mmm

Cell: 4.3986 4.3986 4.1598 Å, 90.00 90.00 120.00°
With the nearest neighbours (Å) after each atom.
Element x y z (fractional)
Pm 0.0000 0.0000 0.0000  12 H 2.43
Ni 0.3333 0.6667 0.5000  6 H 1.64
Ni 0.6667 0.3333 0.5000  6 H 1.64
H 0.0000 0.5000 0.2507  2 Ni 1.64
H 0.0000 0.5000 0.7493  2 Ni 1.64
H 0.5000 0.0000 0.2507  2 Ni 1.64
H 0.5000 0.0000 0.7493  2 Ni 1.64
H 0.5000 0.5000 0.2507  2 Ni 1.64
H 0.5000 0.5000 0.7493  2 Ni 1.64

=====

# 8
A relaxed structure of PmNiH2, computed with PBE-GGA.

electronic total energy = -4.331 eV/atom
space group = P4/mmm

Cell: 3.2188 3.2188 4.3238 Å, 90.00 90.00 90.00°
With the nearest neighbours (Å) after each atom.
Element x y z (fractional)
Pm 0.0000 0.0000 0.0000  6 H 2.16-2.28
Ni 0.5000 0.5000 0.5000  6 H 2.16-2.28
H 0.0000 0.0000 0.5000  2 Pm 2.16, 4 Ni 2.28
H 0.5000 0.5000 0.0000  2 Ni 2.16, 4 Pm 2.28

=====

# 9
A relaxed structure of PrNiSnH, computed with PBE-GGA.

electronic total energy = -5.024 eV/atom
space group = Pnma

Cell: 7.2672 4.4037 8.5225 Å, 90.00 90.00 90.00°
With the nearest neighbours (Å) after each atom.
Element x y z (fractional)
Pr 0.0130 0.2500 0.1892  3 H 2.33-2.45
Pr 0.4870 0.7500 0.6892  3 H 2.33-2.45
Pr 0.5130 0.2500 0.3108  3 H 2.33-2.45
Pr 0.9870 0.7500 0.8108  3 H 2.33-2.45
Ni 0.2186 0.7500 0.4007  1 H 1.61
Ni 0.2814 0.2500 0.9007  1 H 1.61
Ni 0.7186 0.7500 0.0993  1 H 1.61
Ni 0.7814 0.2500 0.5993  1 H 1.61
Sn 0.1578 0.2500 0.5687  4 Ni 2.66-2.97, 1 H 2.93
Sn 0.3422 0.7500 0.0687  4 Ni 2.66-2.97, 1 H 2.93
Sn 0.6578 0.2500 0.9313  4 Ni 2.66-2.97, 1 H 2.93
Sn 0.8422 0.7500 0.4313  4 Ni 2.66-2.97, 1 H 2.93
H 0.0611 0.2500 0.9190  1 Ni 1.61
H 0.4389 0.7500 0.4190  1 Ni 1.61
H 0.5611 0.2500 0.5810  1 Ni 1.61
H 0.9389 0.7500 0.0810  1 Ni 1.61

=====

# 10
A relaxed structure of Sr2NiH6Pt, computed with PBE-GGA.

electronic total energy = -3.939 eV/atom
space group = R-3m

Cell: 9.7020 9.7020 9.7020 Å, 31.49 31.49 31.49°
With the nearest neighbours (Å) after each atom.
Element x y z (fractional)
Sr 0.1245 0.1245 0.1245  12 H 2.64-2.83
Sr 0.2916 0.2916 0.2916  12 H 2.64-2.92
Sr 0.7084 0.7084 0.7084  12 H 2.64-2.92
Sr 0.8755 0.8755 0.8755  12 H 2.64-2.83
Ni 0.0000 0.0000 0.0000  6 H 1.79
Ni 0.5000 0.5000 0.5000  6 H 1.72
H 0.1666 0.6081 0.6081  1 Ni 1.72
H 0.1985 0.1985 0.7145  1 Ni 1.79, 1 Pt 1.86
H 0.1985 0.7145 0.1985  1 Ni 1.79, 1 Pt 1.86
H 0.2855 0.8015 0.8015  1 Ni 1.79, 1 Pt 1.86
H 0.3919 0.3919 0.8334  1 Ni 1.72
H 0.3919 0.8334 0.3919  1 Ni 1.72
H 0.6081 0.1666 0.6081  1 Ni 1.72
H 0.6081 0.6081 0.1666  1 Ni 1.72
H 0.7145 0.1985 0.1985  1 Ni 1.79, 1 Pt 1.86
H 0.8015 0.2855 0.8015  1 Ni 1.79, 1 Pt 1.86
H 0.8015 0.8015 0.2855  1 Ni 1.79, 1 Pt 1.86
H 0.8334 0.3919 0.3919  1 Ni 1.72
Pt 0.4069 0.4069 0.4069  6 H 1.86-2.01
Pt 0.5931 0.5931 0.5931  6 H 1.86-2.01

=====

# 11
A relaxed structure of Sr2NiH6Pt, computed with PBE-GGA.

electronic total energy = -4.000 eV/atom
space group = C2/m

Cell: 5.1728 5.1728 5.4170 Å, 118.61 118.61 89.83°
With the nearest neighbours (Å) after each atom.
Element x y z (fractional)
Sr 0.2500 0.7500 0.0000  12 H 2.61-2.71
Sr 0.7500 0.2500 0.0000  12 H 2.61-2.71
Ni 0.0000 0.0000 0.5000  2 H 1.62
H 0.2027 0.2027 0.9048  1 Ni 1.62
H 0.2515 0.7485 0.5000  1 Pt 1.82, 1 Ni 1.84
H 0.2519 0.2519 0.4987  1 Pt 1.81, 1 Ni 1.85
H 0.7481 0.7481 0.5013  1 Pt 1.81, 1 Ni 1.85
H 0.7485 0.2515 0.5000  1 Pt 1.82, 1 Ni 1.84
H 0.7973 0.7973 0.0952  1 Ni 1.62
Pt 0.5000 0.5000 0.5000  4 H 1.81-1.82

=====

# 12
A relaxed structure of Sr2NiH6Pt, computed with PBE-GGA.

electronic total energy = -3.988 eV/atom
space group = Fm-3m

Cell: 5.2977 5.2977 5.2977 Å, 60.00 60.00 60.00°
With the nearest neighbours (Å) after each atom.
Element x y z (fractional)
Sr 0.2500 0.2500 0.2500  12 H 2.65
Sr 0.7500 0.7500 0.7500  12 H 2.65
Ni 0.0000 0.0000 0.0000  6 H 1.78
H 0.2381 0.2381 0.7619  1 Ni 1.78, 1 Pt 1.96
H 0.2381 0.7619 0.2381  1 Ni 1.78, 1 Pt 1.96
H 0.2381 0.7619 0.7619  1 Ni 1.78, 1 Pt 1.96
H 0.7619 0.2381 0.2381  1 Ni 1.78, 1 Pt 1.96
H 0.7619 0.2381 0.7619  1 Ni 1.78, 1 Pt 1.96
H 0.7619 0.7619 0.2381  1 Ni 1.78, 1 Pt 1.96
Pt 0.5000 0.5000 0.5000  6 H 1.96